No. 1
# PBE CaFeTe2, optimized geometry
# **Formation energy from raw total energies**: -1.6 eV/f.u.
data_CaFeTe2
_chemical_formula_sum 'Ca1 Fe1 Te2'
_cell_length_a 4.2035
_cell_length_b 3.8396
_cell_length_c 7.2614
_cell_angle_alpha 90.00
_cell_angle_beta 104.46
_cell_angle_gamma 90.00
_space_group_name_H-M_alt 'P 1 2/m 1'
_space_group_IT_number 10
loop_
_space_group_symop_operation_xyz
'x,y,z'
'-x,-y,-z'
'-x,y,-z'
'x,-y,z'
loop_
_atom_site_label
_atom_site_type_symbol
_atom_site_fract_x
_atom_site_fract_y
_atom_site_fract_z
Ca1 Ca 0.0000 0.0000 0.0000
Fe1 Fe 0.5000 0.0000 0.5000
Te1 Te 0.4288 0.5000 0.7399

***

No. 2
# PBE MgNiH3, optimized geometry
# **Offset from the most stable computed form**: 0.0000 eV/atom
data_MgNiH3
_chemical_formula_sum 'Mg4 Ni4 H12'
_cell_length_a 4.5368
_cell_length_b 4.4887
_cell_length_c 9.4092
_cell_angle_alpha 90.00
_cell_angle_beta 118.64
_cell_angle_gamma 90.00
_space_group_name_H-M_alt 'P 1 21/c 1'
_space_group_IT_number 14
loop_
_space_group_symop_operation_xyz
'x,y,z'
'-x,-y,-z'
'-x,y+1/2,-z+1/2'
'x,-y+1/2,z+1/2'
loop_
_atom_site_label
_atom_site_type_symbol
_atom_site_fract_x
_atom_site_fract_y
_atom_site_fract_z
Mg1 Mg 0.2426 0.2500 0.2427
Ni1 Ni 0.4316 0.7500 0.4320
H1 H 0.2399 0.7500 0.2427
H2 H 0.2677 0.0006 0.0003
H3 H 0.2698 0.5009 0.0023

***

No. 3
# PBE NaAsPtBr2, optimized geometry
# **Formation energy from raw total energies**: -1.3 eV/f.u.
# **Offset from the most stable computed form**: 0.0000 eV/atom
data_NaAsPtBr2
_chemical_formula_sum 'Na1 As1 Pt1 Br2'
_cell_length_a 5.5516
_cell_length_b 5.5516
_cell_length_c 4.6771
_cell_angle_alpha 90.00
_cell_angle_beta 90.00
_cell_angle_gamma 90.00
_space_group_name_H-M_alt 'P 4/m m m'
_space_group_IT_number 123
_space_group_name_Hall '-P 4 2'
loop_
_atom_site_label
_atom_site_type_symbol
_atom_site_fract_x
_atom_site_fract_y
_atom_site_fract_z
Na1 Na 0.0000 0.0000 0.0000
As1 As 0.5000 0.5000 0.0000
Pt1 Pt 0.5000 0.5000 0.5000
Br1 Br 0.0000 0.5000 0.5000

***

No. 4
# PBE Ac2La2Pr3, optimized geometry
# **Energy relative to the elements**: 0.0890 eV/atom
# **Offset from the most stable computed form**: 0.0663 eV/atom
data_Ac2La2Pr3
_chemical_formula_sum 'Ac4 La4 Pr6'
_cell_length_a 18.4876
_cell_length_b 3.7475
_cell_length_c 9.0893
_cell_angle_alpha 90.00
_cell_angle_beta 118.92
_cell_angle_gamma 90.00
_space_group_name_H-M_alt 'C 1 2/m 1'
_space_group_IT_number 12
loop_
_space_group_symop_operation_xyz
'x,y,z'
'-x,-y,-z'
'-x,y,-z'
'x,-y,z'
'x+1/2,y+1/2,z'
'-x+1/2,-y+1/2,-z'
'-x+1/2,y+1/2,-z'
'x+1/2,-y+1/2,z'
loop_
_atom_site_label
_atom_site_type_symbol
_atom_site_fract_x
_atom_site_fract_y
_atom_site_fract_z
Ac1 Ac 0.1463 0.0000 0.3293
La1 La 0.0654 0.5000 0.9056
Pr1 Pr 0.0000 0.0000 0.5000
Pr2 Pr 0.2114 0.0000 0.8070

***

No. 5
# PBE HfTiCu5, optimized geometry
# **Energy relative to the elements**: -0.0308 eV/atom
data_HfTiCu5
_chemical_formula_sum 'Hf4 Ti4 Cu20'
_cell_length_a 5.9134
_cell_length_b 7.3878
_cell_length_c 9.3213
_cell_angle_alpha 90.00
_cell_angle_beta 103.79
_cell_angle_gamma 90.00
_space_group_name_H-M_alt 'C 1 2/c 1'
_space_group_IT_number 15
loop_
_space_group_symop_operation_xyz
'x,y,z'
'-x,-y,-z'
'-x,y,-z+1/2'
'x,-y,z+1/2'
'x+1/2,y+1/2,z'
'-x+1/2,-y+1/2,-z'
'-x+1/2,y+1/2,-z+1/2'
'x+1/2,-y+1/2,z+1/2'
loop_
_atom_site_label
_atom_site_type_symbol
_atom_site_fract_x
_atom_site_fract_y
_atom_site_fract_z
Hf1 Hf 0.2500 0.2500 0.0000
Ti1 Ti 0.0000 0.2158 0.2500
Cu1 Cu 0.0000 0.1337 0.7500
Cu2 Cu 0.1103 0.4579 0.6543
Cu3 Cu 0.1909 0.1024 0.5480

***

No. 6
# PBE Nd3Dy8Pu, optimized geometry
# **Energy relative to the elements**: 0.5624 eV/atom
data_Nd3Dy8Pu
_chemical_formula_sum 'Nd6 Dy16 Pu2'
_cell_length_a 8.7001
_cell_length_b 8.7001
_cell_length_c 11.3695
_cell_angle_alpha 90.00
_cell_angle_beta 90.00
_cell_angle_gamma 90.00
_space_group_name_H-M_alt 'I -4 2 m'
_space_group_IT_number 121
_space_group_name_Hall 'I -4 2'
loop_
_atom_site_label
_atom_site_type_symbol
_atom_site_fract_x
_atom_site_fract_y
_atom_site_fract_z
Nd1 Nd 0.0000 0.0000 0.0000
Nd2 Nd 0.0000 0.5000 0.2500
Dy1 Dy 0.1254 0.1254 0.7325
Dy2 Dy 0.2299 0.2299 0.4679
Pu1 Pu 0.0000 0.0000 0.5000

***

No. 7
# PBE Sr2LiP, optimized geometry
# **Energy relative to the elements**: -0.4684 eV/atom
data_Sr2LiP
_chemical_formula_sum 'Sr4 Li2 P2'
_cell_length_a 3.9099
_cell_length_b 4.9768
_cell_length_c 12.7093
_cell_angle_alpha 90.00
_cell_angle_beta 90.00
_cell_angle_gamma 90.00
_space_group_name_H-M_alt 'I m m 2'
_space_group_IT_number 44
loop_
_space_group_symop_operation_xyz
'x,y,z'
'-x,-y,z'
'-x,y,z'
'x,-y,z'
'x+1/2,y+1/2,z+1/2'
'-x+1/2,-y+1/2,z+1/2'
'-x+1/2,y+1/2,z+1/2'
'x+1/2,-y+1/2,z+1/2'
loop_
_atom_site_label
_atom_site_type_symbol
_atom_site_fract_x
_atom_site_fract_y
_atom_site_fract_z
Sr1 Sr 0.0000 0.0000 0.0000
Sr2 Sr 0.0000 0.5000 0.1989
Li1 Li 0.0000 0.5000 0.8608
P1 P 0.0000 0.0000 0.4987

***

No. 8
# PBE Ba2AsSe6, optimized geometry
# **Formation energy from raw total energies**: -7.0 eV/f.u.
data_Ba2AsSe6
_chemical_formula_sum 'Ba4 As2 Se12'
_cell_length_a 14.0686
_cell_length_b 7.7371
_cell_length_c 5.2960
_cell_angle_alpha 90.00
_cell_angle_beta 94.75
_cell_angle_gamma 90.00
_space_group_name_H-M_alt 'C 1 2/m 1'
_space_group_IT_number 12
loop_
_space_group_symop_operation_xyz
'x,y,z'
'-x,-y,-z'
'-x,y,-z'
'x,-y,z'
'x+1/2,y+1/2,z'
'-x+1/2,-y+1/2,-z'
'-x+1/2,y+1/2,-z'
'x+1/2,-y+1/2,z'
loop_
_atom_site_label
_atom_site_type_symbol
_atom_site_fract_x
_atom_site_fract_y
_atom_site_fract_z
Ba1 Ba 0.1704 0.0000 0.2026
As1 As 0.0000 0.5000 0.5000
Se1 Se 0.0000 0.2833 0.0000
Se2 Se 0.1322 0.2638 0.6815

***

No. 9
# PBE LaPm3Rh, optimized geometry
# **Energy relative to the elements**: -0.1770 eV/atom
# **Offset from the most stable computed form**: 0.1372 eV/atom
data_LaPm3Rh
_chemical_formula_sum 'La1 Pm3 Rh1'
_cell_length_a 5.5832
_cell_length_b 5.5832
_cell_length_c 5.5832
_cell_angle_alpha 90.00
_cell_angle_beta 90.00
_cell_angle_gamma 90.00
_space_group_name_H-M_alt 'P m -3 m'
_space_group_IT_number 221
_space_group_name_Hall '-P 4 2 3'
loop_
_atom_site_label
_atom_site_type_symbol
_atom_site_fract_x
_atom_site_fract_y
_atom_site_fract_z
La1 La 0.0000 0.0000 0.0000
Pm1 Pm 0.0000 0.5000 0.5000
Rh1 Rh 0.5000 0.5000 0.5000

***

No. 10
# PBE Tb2PmPr4Er, optimized geometry
# **Energy relative to the elements**: 0.0146 eV/atom
data_Tb2PmPr4Er
_chemical_formula_sum 'Tb2 Pm1 Pr4 Er1'
_cell_length_a 5.1605
_cell_length_b 5.1915
_cell_length_c 10.1890
_cell_angle_alpha 90.00
_cell_angle_beta 90.04
_cell_angle_gamma 90.00
_space_group_name_H-M_alt 'P 1 2/m 1'
_space_group_IT_number 10
loop_
_space_group_symop_operation_xyz
'x,y,z'
'-x,-y,-z'
'-x,y,-z'
'x,-y,z'
loop_
_atom_site_label
_atom_site_type_symbol
_atom_site_fract_x
_atom_site_fract_y
_atom_site_fract_z
Tb1 Tb 0.0000 0.0000 0.0000
Tb2 Tb 0.5000 0.5000 0.5000
Pm1 Pm 0.0000 0.0000 0.5000
Pr1 Pr 0.9998 0.5000 0.2479
Pr2 Pr 0.4997 0.0000 0.2477
Er1 Er 0.5000 0.5000 0.0000

***

No. 11
# PBE La2CuPdN, optimized geometry
# **Formation energy from raw total energies**: -2.8 eV/f.u.
# **Offset from the most stable computed form**: 0.1528 eV/atom
data_La2CuPdN
_chemical_formula_sum 'La2 Cu1 Pd1 N1'
_cell_length_a 5.0640
_cell_length_b 5.0640
_cell_length_c 4.1560
_cell_angle_alpha 90.00
_cell_angle_beta 90.00
_cell_angle_gamma 90.00
_space_group_name_H-M_alt 'P 4/m m m'
_space_group_IT_number 123
_space_group_name_Hall '-P 4 2'
loop_
_atom_site_label
_atom_site_type_symbol
_atom_site_fract_x
_atom_site_fract_y
_atom_site_fract_z
La1 La 0.0000 0.5000 0.0000
Cu1 Cu 0.0000 0.0000 0.5000
Pd1 Pd 0.5000 0.5000 0.5000
N1 N 0.5000 0.5000 0.0000

***

No. 12
# PBE Li4ScSe, optimized geometry
# **Formation energy from raw total energies**: -0.3 eV/f.u.
data_Li4ScSe
_chemical_formula_sum 'Li16 Sc4 Se4'
_cell_length_a 7.6504
_cell_length_b 7.6504
_cell_length_c 7.6504
_cell_angle_alpha 90.00
_cell_angle_beta 90.00
_cell_angle_gamma 90.00
_space_group_name_H-M_alt 'F -4 3 m'
_space_group_IT_number 216
_space_group_name_Hall 'F -4 2 3'
loop_
_atom_site_label
_atom_site_type_symbol
_atom_site_fract_x
_atom_site_fract_y
_atom_site_fract_z
Li1 Li 0.1255 0.1255 0.1255
Sc1 Sc 0.2500 0.2500 0.7500
Se1 Se 0.0000 0.0000 0.5000